[1]
Density functional theory data (meta-GGA SCAN) for La2TlPt at its PBEsol-relaxed geometry.

The structure in CIF format:
```
data_La2TlPt
_cell_length_a 3.741
_cell_length_b 4.835
_cell_length_c 6.626
_cell_angle_alpha 111.40
_cell_angle_beta 106.40
_cell_angle_gamma 90.00
_symmetry_space_group_name_H-M 'P 1'
_symmetry_Int_Tables_number 1
loop_
_symmetry_equiv_pos_as_xyz
'x,y,z'
loop_
_atom_site_label
_atom_site_type_symbol
_atom_site_fract_x
_atom_site_fract_y
_atom_site_fract_z
La1 La 0.795 0.795 0.589
La2 La 0.999 0.499 0.999
Tl1 Tl 0.200 0.200 0.399
Pt1 Pt 0.506 0.006 0.013
```

Results
Calculated density: 10.58 g/cm3
Energy relative to the elements: -325.0 kJ/mol of formula units
Size of the total moment: 0.00 Bohr magnetons per cell
V: 26.582 A^3/atom

***

[2]
Density functional theory data (meta-GGA SCAN) for Mg3Au at its PBEsol-relaxed geometry.

The structure in CIF format:
```
data_Mg3Au
_cell_length_a 3.194
_cell_length_b 3.194
_cell_length_c 9.237
_cell_angle_alpha 90.00
_cell_angle_beta 90.00
_cell_angle_gamma 120.00
_symmetry_space_group_name_H-M 'P 1'
_symmetry_Int_Tables_number 1
loop_
_symmetry_equiv_pos_as_xyz
'x,y,z'
loop_
_atom_site_label
_atom_site_type_symbol
_atom_site_fract_x
_atom_site_fract_y
_atom_site_fract_z
Au1 Au 0.000 0.000 0.000
Mg1 Mg 0.000 0.000 0.500
Mg2 Mg 0.667 0.333 0.222
Mg3 Mg 0.667 0.333 0.778
```

Results
Calculated density: 5.49 g/cm3
Energy relative to the elements: -102.4 kJ/mol of formula units
Size of the total moment: 0.00 Bohr magnetons per cell
V: 20.405 A^3/atom

***

[3]
Density functional theory data (meta-GGA SCAN) for Cs2LaBr5 at its PBEsol-relaxed geometry.

The structure in CIF format:
```
data_Cs2LaBr5
_cell_length_a 8.878
_cell_length_b 9.519
_cell_length_c 14.140
_cell_angle_alpha 90.00
_cell_angle_beta 90.00
_cell_angle_gamma 90.00
_symmetry_space_group_name_H-M 'P 1'
_symmetry_Int_Tables_number 1
loop_
_symmetry_equiv_pos_as_xyz
'x,y,z'
loop_
_atom_site_label
_atom_site_type_symbol
_atom_site_fract_x
_atom_site_fract_y
_atom_site_fract_z
Cs1 Cs 0.931 0.008 0.170
Br1 Br 0.392 0.750 0.820
Br2 Br 0.166 0.544 0.567
Br3 Br 0.334 0.956 0.067
Cs2 Cs 0.431 0.508 0.330
La1 La 0.070 0.250 0.506
Br4 Br 0.645 0.750 0.196
Cs3 Cs 0.069 0.992 0.830
Br5 Br 0.666 0.044 0.933
Br6 Br 0.403 0.250 0.512
Cs4 Cs 0.069 0.508 0.830
Cs5 Cs 0.569 0.492 0.670
Br7 Br 0.334 0.544 0.067
Br8 Br 0.608 0.250 0.180
La2 La 0.430 0.250 0.006
Br9 Br 0.355 0.250 0.804
Br10 Br 0.855 0.750 0.696
Br11 Br 0.166 0.956 0.567
Br12 Br 0.108 0.750 0.320
Br13 Br 0.666 0.456 0.933
Br14 Br 0.834 0.044 0.433
Br15 Br 0.903 0.750 0.988
Cs6 Cs 0.569 0.008 0.670
Br16 Br 0.097 0.250 0.012
Cs7 Cs 0.431 0.992 0.330
Br17 Br 0.834 0.456 0.433
Br18 Br 0.597 0.750 0.488
Cs8 Cs 0.931 0.492 0.170
Br19 Br 0.892 0.250 0.680
Br20 Br 0.145 0.250 0.304
La3 La 0.570 0.750 0.994
La4 La 0.930 0.750 0.494
```

Results
Calculated density: 4.47 g/cm3
Size of the total moment: 0.00 Bohr magnetons per cell
V: 37.344 A^3/atom
Uncorrected formation energy: -2176 meV/atom

***

[4]
Density functional theory data (meta-GGA SCAN) for KCd2P at its PBEsol-relaxed geometry.

The structure in CIF format:
```
data_KCd2P
_cell_length_a 3.040
_cell_length_b 5.068
_cell_length_c 5.873
_cell_angle_alpha 90.00
_cell_angle_beta 90.07
_cell_angle_gamma 90.00
_symmetry_space_group_name_H-M 'P 1'
_symmetry_Int_Tables_number 1
loop_
_symmetry_equiv_pos_as_xyz
'x,y,z'
loop_
_atom_site_label
_atom_site_type_symbol
_atom_site_fract_x
_atom_site_fract_y
_atom_site_fract_z
Cd1 Cd 0.999 0.000 0.741
K1 K 0.500 0.500 0.000
Cd2 Cd 0.001 0.000 0.259
P1 P 0.000 0.500 0.500
```

Results
Calculated density: 5.41 g/cm3
Energy relative to the elements: 24.1 kJ/mol of formula units
Size of the total moment: 0.00 Bohr magnetons per cell
V: 22.620 A^3/atom

***

[5]
Density functional theory data (meta-GGA SCAN) for CaInAs2 at its PBEsol-relaxed geometry.

The structure in CIF format:
```
data_CaInAs2
_cell_length_a 3.703
_cell_length_b 3.703
_cell_length_c 8.455
_cell_angle_alpha 77.35
_cell_angle_beta 77.35
_cell_angle_gamma 60.00
_symmetry_space_group_name_H-M 'P 1'
_symmetry_Int_Tables_number 1
loop_
_symmetry_equiv_pos_as_xyz
'x,y,z'
loop_
_atom_site_label
_atom_site_type_symbol
_atom_site_fract_x
_atom_site_fract_y
_atom_site_fract_z
Ca1 Ca 0.491 0.491 0.526
As1 As 0.010 0.010 0.969
In1 In 0.260 0.260 0.219
As2 As 0.738 0.738 0.786
```

Results
Calculated density: 5.21 g/cm3
Energy relative to the elements: -75.1 kJ/mol of formula units
Size of the total moment: 0.00 Bohr magnetons per cell
V: 24.290 A^3/atom

***

[6]
Density functional theory data (meta-GGA SCAN) for Mg5Pt3 at its PBEsol-relaxed geometry.

The structure in CIF format:
```
data_Mg5Pt3
_cell_length_a 5.273
_cell_length_b 7.709
_cell_length_c 7.709
_cell_angle_alpha 83.28
_cell_angle_beta 70.00
_cell_angle_gamma 70.00
_symmetry_space_group_name_H-M 'P 1'
_symmetry_Int_Tables_number 1
loop_
_symmetry_equiv_pos_as_xyz
'x,y,z'
loop_
_atom_site_label
_atom_site_type_symbol
_atom_site_fract_x
_atom_site_fract_y
_atom_site_fract_z
Mg1 Mg 0.718 0.703 0.860
Pt1 Pt 0.838 0.824 0.500
Mg2 Mg 0.921 0.297 0.860
Pt2 Pt 0.250 0.000 0.000
Mg3 Mg 0.782 0.140 0.297
Mg4 Mg 0.421 0.860 0.297
Pt3 Pt 0.662 0.500 0.176
Mg5 Mg 0.250 0.500 0.500
Mg6 Mg 0.079 0.703 0.140
Mg7 Mg 0.750 0.500 0.500
Mg8 Mg 0.579 0.140 0.703
Mg9 Mg 0.218 0.860 0.703
Mg10 Mg 0.282 0.297 0.140
Pt4 Pt 0.162 0.176 0.500
Pt5 Pt 0.338 0.500 0.824
Pt6 Pt 0.750 0.000 0.000
```

Results
Calculated density: 8.48 g/cm3
Energy relative to the elements: -669.9 kJ/mol of formula units
Size of the total moment: 0.00 Bohr magnetons per cell
V: 17.294 A^3/atom

***

[7]
Density functional theory data (meta-GGA SCAN) for TcSbW at its PBEsol-relaxed geometry.

The structure in CIF format:
```
data_TcSbW
_cell_length_a 4.335
_cell_length_b 4.335
_cell_length_c 4.335
_cell_angle_alpha 60.00
_cell_angle_beta 60.00
_cell_angle_gamma 60.00
_symmetry_space_group_name_H-M 'P 1'
_symmetry_Int_Tables_number 1
loop_
_symmetry_equiv_pos_as_xyz
'x,y,z'
loop_
_atom_site_label
_atom_site_type_symbol
_atom_site_fract_x
_atom_site_fract_y
_atom_site_fract_z
Sb1 Sb 0.250 0.250 0.250
Tc1 Tc 0.000 0.000 0.000
W1 W 0.500 0.500 0.500
```

Results
Calculated density: 11.64 g/cm3
Size of the total moment: 0.00 Bohr magnetons per cell
V: 19.200 A^3/atom
Uncorrected formation energy: 1205 meV/atom

***

[8]
Density functional theory data (meta-GGA SCAN) for KPbCl2 at its PBEsol-relaxed geometry.

The structure in CIF format:
```
data_KPbCl2
_cell_length_a 3.434
_cell_length_b 5.481
_cell_length_c 5.481
_cell_angle_alpha 90.00
_cell_angle_beta 90.00
_cell_angle_gamma 90.00
_symmetry_space_group_name_H-M 'P 1'
_symmetry_Int_Tables_number 1
loop_
_symmetry_equiv_pos_as_xyz
'x,y,z'
loop_
_atom_site_label
_atom_site_type_symbol
_atom_site_fract_x
_atom_site_fract_y
_atom_site_fract_z
Cl1 Cl 0.000 0.500 0.000
K1 K 0.500 0.500 0.500
Pb1 Pb 0.500 0.000 0.000
Cl2 Cl 0.000 0.000 0.500
```

Results
Calculated density: 5.11 g/cm3
Size of the total moment: 0.00 Bohr magnetons per cell
V: 25.785 A^3/atom
Uncorrected formation energy: -1240 meV/atom